The following is a DFT calculation (SCAN) of a PBEsol-optimized structure of Be2ReNi.

## Properties
N(E_F) (states/eV/atom): 0.5521
ΔE_f (meV/atom): -41.3
ΔE to the lowest computed polymorph (meV/atom): 226
Total DFT energy (no corrections) (eV/cell): -192.29
M_tot (μB per formula unit): 0.90

a b c (Å): 3.2849 3.2849 7.6573
angles (deg): 90.00 90.00 90.00
With the nearest neighbours (Å) after each atom.
Fractional coordinates of all 8 atoms:
Be  0.0000  0.0000  0.0000  4 Ni 2.32, 4 Re 2.52, 4 Be 2.52
Be  0.0000  0.5000  0.2500  4 Re 2.32, 4 Ni 2.52, 4 Be 2.52
Be  0.5000  0.0000  0.7500  4 Re 2.32, 4 Be 2.52, 4 Ni 2.52
Be  0.5000  0.5000  0.5000  4 Ni 2.32, 4 Re 2.52, 4 Be 2.52
Re  0.0000  0.5000  0.7500  8 Be 2.32-2.52, 4 Ni 2.52
Re  0.5000  0.0000  0.2500  8 Be 2.32-2.52, 4 Ni 2.52
Ni  0.0000  0.0000  0.5000  8 Be 2.32-2.52, 4 Re 2.52
Ni  0.5000  0.5000  0.0000  8 Be 2.32-2.52, 4 Re 2.52